Entry 1:
First-principles (meta-GGA SCAN) data for a PBEsol-optimized structure of LiRePb, as listed in Alexandria.

## Properties
For the volume, the calculation gives 18.9 Å³ per atom. The value obtained for the formation energy is 2.3 eV per formula unit. The total DFT energy (no corrections) comes out at -48.998 eV per atom. The energy above the most stable polymorph in this dataset is 81 meV/atom.

Cell: 2.8734 2.8734 13.6990 Å, 90.00 90.00 90.00°
Closest atoms and distances in Å follow each position.
Fractional positions:
Li 0.0000 0.0000 0.0000  4 Re 2.80, 4 Li 2.87
Li 0.5000 0.5000 0.5000  4 Re 2.80, 4 Li 2.87
Re 0.0000 0.0000 0.3597  4 Li 2.80, 4 Re 2.87, 4 Pb 3.02
Re 0.5000 0.5000 0.8597  4 Li 2.80, 4 Re 2.87, 4 Pb 3.02
Pb 0.0000 0.0000 0.6967  4 Pb 2.87, 4 Re 3.02
Pb 0.5000 0.5000 0.1967  4 Pb 2.87, 4 Re 3.02

---

Entry 2:
First-principles (meta-GGA SCAN) data for a PBEsol-optimized structure of SnSBrN2, as listed in Alexandria.

## Properties
For the volume, the calculation gives 15.4 Å³ per atom. Its formation energy (no corrections) is 9.7 eV/f.u. The total DFT energy (no corrections) comes out at -14.785 eV per atom.

Cell: 3.9605 3.9605 4.9213 Å, 90.00 90.00 90.00°
Closest atoms and distances in Å follow each position.
Fractional positions:
Sn 0.0000 0.0000 0.0000  4 S 2.80
S 0.5000 0.5000 0.0000  2 Br 2.46
Br 0.5000 0.5000 0.5000  4 N 1.98
N 0.0000 0.5000 0.5000  2 Br 1.98
N 0.5000 0.0000 0.5000  2 Br 1.98

---

- Number 1 is which compound?
  LiRePb